No. 1
A relaxed AlTe2Au crystal, computed with GGA-PBE.

Formation energy (no corrections) (eV per atom): -0.195
Theoretical density (Mg/m³): 6.263
Total magnetic moment (μB/cell): 0.0
Total energy (eV/atom): -3.521

a = 4.4570 Å, b = 4.4570 Å, c = 7.3848 Å
α = 90.00°, β = 90.00°, γ = 120.00°
Atoms (fractional coordinates):
Al: 0.3333 0.6667 0.4972
Te: 0.3333 0.6667 0.8542
Te: 0.6667 0.3333 0.3437
Au: 0.0000 0.0000 0.7599

No. 2
A relaxed AlTeAu2 crystal, computed with GGA-PBE.

Formation energy (no corrections) (eV per atom): -0.067
Theoretical density (Mg/m³): 10.268
Total magnetic moment (μB/cell): 0.0
Total energy (eV/atom): -3.426
E above lowest polymorph (meV/atom): 95

a = 3.9983 Å, b = 4.7733 Å, c = 4.9156 Å
α = 71.01°, β = 90.00°, γ = 90.00°
Atoms (fractional coordinates):
Au: 0.5000 0.2397 0.2331
Au: 0.0000 0.9922 0.9735
Al: 0.5000 0.7491 0.7941
Te: 0.0000 0.5190 0.4993

No. 3
A relaxed AlTeAu2 crystal, computed with GGA-PBE.

Formation energy (no corrections) (eV per atom): 0.138
Theoretical density (Mg/m³): 11.143
Total magnetic moment (μB/cell): 0.0
Total energy (eV/atom): -3.222
E above lowest polymorph (meV/atom): 299

a = 5.3134 Å, b = 5.3134 Å, c = 5.3134 Å
α = 131.77°, β = 131.77°, γ = 70.59°
Atoms (fractional coordinates):
Au: 0.0000 0.0000 0.0000
Au: 0.2500 0.7500 0.5000
Al: 0.7500 0.2500 0.5000
Te: 0.5000 0.5000 0.0000

No. 4
A relaxed AlTe2Au crystal, computed with GGA-PBE.

Formation energy (no corrections) (eV per atom): 0.150
Theoretical density (Mg/m³): 8.167
Total magnetic moment (μB/cell): 0.0
Total energy (eV/atom): -3.176

a = 7.2878 Å, b = 7.2878 Å, c = 6.3257 Å
α = 54.83°, β = 54.83°, γ = 90.00°
Atoms (fractional coordinates):
Al: 0.2500 0.2500 0.5000
Al: 0.7500 0.7500 0.5000
Au: 0.7500 0.2500 0.5000
Au: 0.2500 0.7500 0.5000
Te: 0.2060 0.7060 0.0000
Te: 0.2940 0.2060 0.0000
Te: 0.7060 0.7940 0.0000
Te: 0.7940 0.2940 0.0000

Which formula does entry 2 have?
AlTeAu2

Which value of formation energy (no corrections) does entry 4 give?
0.150 eV per atom

theoretical density of number 4 (AlTe2Au)?
8.167 Mg/m³